No. 1
# AcZr2NiN4 (PBE-GGA, optimized geometry)
data_AcZr2NiN4
_cell_length_a 3.3460
_cell_length_b 11.3076
_cell_length_c 11.2856
_cell_angle_alpha 90.00
_cell_angle_beta 90.00
_cell_angle_gamma 90.00
_symmetry_space_group_name_H-M 'C m c m'
_symmetry_Int_Tables_number 63
_symmetry_space_group_name_Hall '-C 2c 2'
loop_
_atom_site_label
_atom_site_type_symbol
_atom_site_fract_x
_atom_site_fract_y
_atom_site_fract_z
Ac1 Ac 0.0000 0.1033 0.2500
Zr1 Zr 0.0000 0.3660 0.0546
Ni1 Ni 0.0000 0.1612 0.7500
N1 N 0.0000 0.0000 0.0000
N2 N 0.0000 0.2647 0.6092
N3 N 0.0000 0.4306 0.2500
# Uncorrected formation energy, eV/atom: -1.2008
# Energy, eV for the cell shown: -279.58


No. 2
# Ac3NpN5 (PBE-GGA, optimized geometry)
data_Ac3NpN5
_cell_length_a 7.2434
_cell_length_b 7.2434
_cell_length_c 12.7736
_cell_angle_alpha 90.00
_cell_angle_beta 90.00
_cell_angle_gamma 90.00
_symmetry_space_group_name_H-M 'I 4/m c m'
_symmetry_Int_Tables_number 140
_symmetry_space_group_name_Hall '-I 4 2c'
loop_
_atom_site_label
_atom_site_type_symbol
_atom_site_fract_x
_atom_site_fract_y
_atom_site_fract_z
Ac1 Ac 0.0000 0.0000 0.2500
Ac2 Ac 0.1790 0.3210 0.0000
Np1 Np 0.0000 0.5000 0.2500
N1 N 0.0000 0.0000 0.0000
N2 N 0.1517 0.3483 0.3544
# Uncorrected formation energy, eV/atom: -0.8091
# Energy, eV for the cell shown: -296.70